PrMnPd2 after structural relaxation, computed with PBE.

Output
Crystal system: tetragonal
Formation energy, eV/atom: -0.38

Lattice parameters (Å, degrees): 3.389 3.389 6.803 90.00 90.00 90.00
Fractional coordinates of all 4 atoms:
Pd 0.000 0.000 0.792
Mn 0.500 0.500 0.000
Pr 0.500 0.500 0.500
Pd 0.000 0.000 0.208

***

Th3Al9Cu2 after structural relaxation, computed with PBE.

Output
Crystal system: orthorhombic
Formation energy, eV/atom: -0.38

Lattice parameters (Å, degrees): 4.341 8.341 8.341 75.01 74.92 74.92
Fractional coordinates of all 14 atoms:
Th 0.684 0.316 0.316
Th 0.316 0.684 0.684
Al 0.337 0.029 0.297
Al 0.663 0.703 0.971
Al 0.126 0.152 0.597
Cu 0.500 0.277 0.723
Al 0.000 0.500 0.500
Al 0.874 0.848 0.403
Al 0.874 0.403 0.848
Al 0.663 0.971 0.703
Th 0.000 0.000 0.000
Al 0.337 0.297 0.029
Cu 0.500 0.723 0.277
Al 0.126 0.597 0.152

***

BaSrSb2Pd5 after structural relaxation, computed with PBE.

Output
Crystal system: tetragonal
Raw formation energy, eV per atom: -0.60

Lattice parameters (Å, degrees): 4.924 4.924 8.722 90.00 90.00 90.00
Fractional coordinates of all 9 atoms:
Sb 0.500 0.500 0.824
Ba 0.000 0.000 0.500
Pd 0.000 0.500 0.724
Pd 0.500 0.000 0.276
Sr 0.000 0.000 0.000
Pd 0.000 0.500 0.276
Pd 0.500 0.500 0.500
Pd 0.500 0.000 0.724
Sb 0.500 0.500 0.176

***

CoTc2Hg after structural relaxation, computed with PBE.

Output
Crystal system: tetragonal
Formation energy, eV/atom: 0.82

Lattice parameters (Å, degrees): 7.186 7.186 5.671 50.68 50.68 90.00
Fractional coordinates of all 8 atoms:
Tc 0.875 0.815 0.750
Tc 0.565 0.125 0.250
Hg 0.000 0.000 0.000
Co 0.250 0.750 0.500
Tc 0.185 0.625 0.250
Tc 0.375 0.435 0.750
Co 0.500 0.500 0.000
Hg 0.750 0.250 0.500

***

KAgCl4 after structural relaxation, computed with PBE.

Output
Crystal system: cubic
Raw formation energy, eV per atom: -0.16

Lattice parameters (Å, degrees): 6.124 6.124 6.124 60.00 60.00 60.00
Fractional coordinates of all 6 atoms:
K 0.750 0.750 0.750
Cl 0.876 0.375 0.375
Cl 0.375 0.375 0.375
Cl 0.375 0.876 0.375
Ag 0.000 0.000 0.000
Cl 0.375 0.375 0.876

***

Th5In4 after structural relaxation, computed with PBE.

Output
Crystal system: hexagonal
Formation energy, eV/atom: -0.24

Lattice parameters (Å, degrees): 6.574 9.705 9.705 120.00 90.00 90.00
Fractional coordinates of all 18 atoms:
Th 0.750 0.292 0.000
Th 0.750 0.708 0.708
In 0.000 0.000 0.000
Th 0.250 0.000 0.708
In 0.500 0.000 0.000
In 0.750 0.000 0.630
Th 0.000 0.333 0.667
Th 0.750 0.000 0.292
Th 0.500 0.333 0.667
In 0.250 0.630 0.630
In 0.750 0.370 0.370
Th 0.000 0.667 0.333
Th 0.500 0.667 0.333
In 0.250 0.370 0.000
In 0.750 0.630 0.000
Th 0.250 0.708 0.000
Th 0.250 0.292 0.292
In 0.250 0.000 0.370

***

Y4ZnPt after structural relaxation, computed with PBE.

Output
Crystal system: monoclinic
ΔE to the lowest computed polymorph, meV per atom: 163
Formation energy, eV/atom: -0.42

Lattice parameters (Å, degrees): 6.960 6.996 7.122 90.00 91.76 90.00
Fractional coordinates of all 12 atoms:
Pt 0.500 0.000 0.500
Pt 0.000 0.500 0.500
Zn 0.500 0.500 0.000
Y 0.856 0.652 0.166
Y 0.334 0.344 0.348
Y 0.834 0.156 0.348
Y 0.356 0.848 0.166
Y 0.166 0.844 0.652
Y 0.666 0.656 0.652
Y 0.644 0.152 0.834
Y 0.144 0.348 0.834
Zn 0.000 0.000 0.000

***

- Which formula does entry 6 have?
  Th5In4